This record from Alexandria describes crystalline Ac3GeS2 at its relaxed geometry. The functional is PBE.

The structure in POSCAR format:
```
Ac3GeS2
1.0
4.4738 0.0000 0.0000
0.0000 6.2455 0.0000
-2.2369 -3.1228 6.5908
Ac S Ge
3 2 1
Cartesian
3.3553 1.5614 1.0885
-1.1184 1.5614 5.5023
1.1184 -1.5614 3.2954
3.3553 4.6841 1.1192
-1.1184 -1.5614 5.4716
1.1184 1.5614 3.2954
```

## Properties
E_tot = -5.840 eV/atom
Space-group type = Immm, No. 71
Uncorrected formation energy = -1.640 eV/atom

***

This record from Alexandria describes crystalline AlNiSe at its relaxed geometry. The functional is PBE.

The structure in POSCAR format:
```
AlNiSe
1.0
3.5048 -1.7812 0.6040
-0.3444 3.9163 0.6040
1.1565 0.7813 9.4323
Ni Se Al
2 2 2
Cartesian
2.8571 -0.8226 0.6040
0.3033 2.9577 0.6040
2.4984 1.6879 3.7558
1.8185 1.2286 6.8846
3.0567 2.0650 8.8041
1.2603 0.8514 1.8363
```

## Properties
E_tot = -4.609 eV/atom
Space-group type = C2/m, No. 12
Offset from the most stable computed form = 0 meV per atom
Uncorrected formation energy = -0.273 eV/atom

***

This record from Alexandria describes crystalline Ac3Zn7Ni4 at its relaxed geometry. The functional is PBE.

The structure in POSCAR format:
```
Ac3Zn7Ni4
1.0
4.1051 0.0000 1.0356
1.4674 7.6614 2.8372
0.0029 0.1782 8.6423
Zn Ni Ac
7 4 3
Cartesian
2.3376 1.8441 8.0418
2.9901 1.4662 5.4553
0.0000 0.0000 0.0000
3.2378 5.9955 4.4733
2.5853 6.3735 7.0598
4.0545 3.1220 9.8902
1.5210 4.7177 2.6249
2.1821 4.3019 8.6580
4.9821 6.8797 6.2129
0.5933 0.9599 6.3021
3.3933 3.5377 3.8570
1.5151 1.4457 2.6480
0.7352 3.9198 5.7397
4.0603 6.3939 9.8670
```

## Properties
E_tot = -3.445 eV/atom
Space-group type = C2/m, No. 12
Formation energy = -276 meV/atom

***

This record from Alexandria describes crystalline Ba2Al3CdAg12 at its relaxed geometry. The functional is PBE.

The structure in POSCAR format:
```
Ba2Al3CdAg12
1.0
-3.6544 -4.7371 6.1813
-1.8524 -8.2146 -1.7585
4.7481 -6.1124 3.7547
Ag Al Ba Cd
12 3 2 1
Cartesian
-3.0983 -9.0501 3.2606
-2.2698 -9.2596 6.2481
2.2531 -5.4048 2.8786
2.3395 -10.0140 4.9169
-1.9019 -4.7247 4.0785
1.1432 -14.3393 4.0990
-1.2813 -11.1672 1.8926
0.5225 -7.8969 6.2850
-1.0108 -6.4444 0.1523
0.2521 -12.6197 8.0253
1.5110 -9.8045 1.9295
-3.0119 -13.6592 5.2990
-1.8272 -2.3685 3.0907
2.3740 -3.0562 1.8774
-0.9262 -4.1073 -0.8793
-0.4639 -11.6560 4.9998
-0.2948 -7.4081 3.1777
0.0000 0.0000 0.0000
```

## Properties
E_tot = -2.590 eV/atom
Space-group type = R-3m, No. 166
Formation energy = 199 meV/atom

***

This record from Alexandria describes crystalline Tc2GeMoN at its relaxed geometry. The functional is PBE.

The structure in POSCAR format:
```
Tc2GeMoN
1.0
4.0616 0.0000 0.0000
0.0000 4.0616 0.0000
0.0000 0.0000 4.1044
Tc N Ge Mo
2 1 1 1
Cartesian
2.0308 0.0000 0.0000
0.0000 2.0308 0.0000
0.0000 0.0000 0.0000
2.0308 2.0308 2.0522
0.0000 0.0000 2.0522
```

## Properties
E_tot = -8.864 eV/atom
Space-group type = P4/mmm, No. 123
Uncorrected formation energy = 0.038 eV/atom

***

This record from Alexandria describes crystalline Sm2TmZr at its relaxed geometry. The functional is PBE.

The structure in POSCAR format:
```
Sm2TmZr
1.0
-3.8938 -2.3026 1.8115
2.6860 -4.0674 0.6032
1.2270 1.4805 4.5194
Zr Sm Tm
1 2 1
Cartesian
-1.9469 -1.1513 0.9058
0.6135 0.7403 2.2597
1.3430 -2.0337 0.3016
0.0096 -2.4448 3.4670
```

## Properties
E_tot = -5.506 eV/atom
Space-group type = P4/mmm, No. 123
Formation energy = 108 meV/atom
Offset from the most stable computed form = 0 meV per atom

***

This record from Alexandria describes crystalline Tb3Zn2 at its relaxed geometry. The functional is PBE.

The structure in POSCAR format:
```
Tb3Zn2
1.0
3.5863 0.0000 0.0000
0.0000 3.5863 0.0000
-1.7931 -1.7931 9.7147
Tb Zn
3 2
Cartesian
1.7931 1.7931 6.1814
0.0000 0.0000 0.0000
0.0000 0.0000 3.5333
1.7931 1.7931 1.7706
0.0000 0.0000 7.9441
```

## Properties
E_tot = -3.556 eV/atom
Space-group type = I4/mmm, No. 139
Formation energy = -268 meV/atom

***

This record from Alexandria describes crystalline BaBr2 at its relaxed geometry. The functional is PBE.

The structure in POSCAR format:
```
BaBr2
1.0
-5.3144 0.2675 -0.0021
-0.2011 -4.0233 -3.4767
-0.1393 -2.7427 3.1819
Br Ba
2 1
Cartesian
-0.1702 -3.3830 -0.1474
-2.7269 -1.2376 1.5899
0.0000 0.0000 0.0000
```

## Properties
E_tot = -3.834 eV/atom
Space-group type = P4/mmm, No. 123
Uncorrected formation energy = -2.078 eV/atom

***

This record from Alexandria describes crystalline LaTb2CeNd6 at its relaxed geometry. The functional is PBE.

The structure in POSCAR format:
```
LaTb2CeNd6
1.0
-6.0924 5.8023 3.2573
1.9917 -1.5542 6.4938
3.6418 4.0215 -3.8928
Tb Nd La Ce
2 6 1 1
Cartesian
-0.0959 1.5155 0.3921
-0.3629 6.7541 5.4662
-1.7903 4.5673 7.3491
1.3315 3.7023 -1.4908
-2.8391 5.3857 3.9297
2.3803 2.8839 1.9286
-0.1221 5.7784 1.4204
-0.3367 2.4912 4.4378
-3.0462 2.9011 1.6287
0.9959 -0.7771 3.2469
```

## Properties
E_tot = -4.647 eV/atom
Space-group type = C2/m, No. 12
Formation energy = 225 meV/atom

***

This record from Alexandria describes crystalline SrLiCo2 at its relaxed geometry. The functional is PBE.

The structure in POSCAR format:
```
SrLiCo2
1.0
4.6234 -0.0005 0.0000
-0.0062 4.6234 0.0000
-2.3086 -2.3114 3.2716
Sr Co Li
1 2 1
Cartesian
2.3117 -0.0003 1.6358
0.0000 0.0000 0.0000
-0.0031 2.3117 1.6358
2.3086 2.3114 0.0000
```

## Properties
E_tot = -3.882 eV/atom
Space-group type = I-4m2, No. 119
Formation energy = 570 meV/atom
Offset from the most stable computed form = 377 meV per atom

***

Which of these has the lowest E_tot? Tc2GeMoN